MnCI2N: optimized geometry, GGA-PBEsol.

Formation energy (no corrections): 1.183 eV per atom

Cell lengths 6.736, 6.736, 2.654 Å; angles 90.00, 90.00, 90.00 degrees
Space group P4/mmm (No. 123)
Asymmetric unit:
Mn  0.000  0.000  0.000 x1
C  0.500  0.500  0.500 x1
I  0.000  0.500  0.500 x2
N  0.500  0.500  0.000 x1


ReAg3Pb: optimized geometry, GGA-PBEsol.

Energy of formation from the pure elements: 1.9984 eV/atom

Cell lengths 5.134, 5.134, 5.134 Å; angles 90.00, 90.00, 90.00 degrees
Space group Pm-3m (No. 221)
Asymmetric unit:
Re  0.000  0.000  0.000 x1
Ag  0.000  0.500  0.500 x3
Pb  0.500  0.500  0.500 x1


ClF3: optimized geometry, GGA-PBEsol.

Formation energy (no corrections): -0.686 eV per atom

Cell lengths 8.748, 6.085, 4.494 Å; angles 90.00, 90.00, 90.00 degrees
Space group Pnma (No. 62)
Asymmetric unit:
Cl  0.160  0.250  0.115 x4
F  0.046  0.250  0.398 x4
F  0.154  0.535  0.129 x8


NdSi2Pt2: optimized geometry, GGA-PBEsol.

Formation energy (no corrections): -1.164 eV per atom

Cell lengths 4.221, 4.221, 9.783 Å; angles 90.00, 90.00, 90.00 degrees
Space group P4/nmm (No. 129, origin choice 2)
Asymmetric unit:
Nd  0.250  0.250  0.244 x2
Si  0.250  0.250  0.632 x2
Si  0.250  0.750  0.000 x2
Pt  0.250  0.250  0.879 x2
Pt  0.250  0.750  0.500 x2


TlSbTe2Br: optimized geometry, GGA-PBEsol.

Formation energy (no corrections): 0.724 eV per atom

Cell lengths 5.593, 5.593, 5.762 Å; angles 90.00, 90.00, 90.00 degrees
Space group P4/mmm (No. 123)
Asymmetric unit:
Tl  0.000  0.000  0.000 x1
Sb  0.000  0.000  0.500 x1
Te  0.000  0.500  0.000 x2
Br  0.500  0.500  0.500 x1


Ca2LaSc: optimized geometry, GGA-PBEsol.

Energy above the most stable polymorph in this dataset: 0.38 eV per formula unit
Energy of formation from the pure elements: 0.1854 eV/atom

Cell lengths 3.955, 5.701, 5.888 Å; angles 90.00, 90.00, 90.00 degrees
Space group Pmmm (No. 47)
Asymmetric unit:
Ca  0.000  0.000  0.000 x1
Ca  0.500  0.500  0.000 x1
La  0.000  0.500  0.500 x1
Sc  0.500  0.000  0.500 x1


PdPbC2: optimized geometry, GGA-PBEsol.

Energy of formation from the pure elements: 1.4866 eV/atom

Cell lengths 5.049, 5.049, 9.906 Å; angles 90.00, 90.00, 90.00 degrees
Space group I-42d (No. 122)
Asymmetric unit:
Pd  0.000  0.000  0.000 x4
Pb  0.000  0.000  0.500 x4
C  0.188  0.250  0.125 x8


CsTmS2: optimized geometry, GGA-PBEsol.

Energy above the most stable polymorph in this dataset: 0.00 eV per formula unit
Formation energy (no corrections): -1.878 eV per atom

Cell lengths 3.9771, 3.9771, 15.8051 Å; angles 90.00, 90.00, 120.00 degrees
Space group P6_3/mmc (No. 194)
Asymmetric unit:
Cs  0.3333  0.6667  0.2500 x2
Tm  0.0000  0.0000  0.0000 x2
S  0.3333  0.6667  0.5910 x4